Computed, not measured: a relaxed VPIrO2 crystal at the GGA+U level of DFT.

Offset from the most stable computed form, meV/atom: 0
V, Å³/cell: 84.8
SG: P4/mmm
E_tot, eV per atom: -6.673

a = 3.5425 Å, b = 3.5425 Å, c = 6.7546 Å
α = 90.00°, β = 90.00°, γ = 90.00°
Last column: nearest neighbours and their distance in Å.
Element x y z (fractional)
V: 0.0000 0.0000 0.0000  4 O 1.77
P: 0.0000 0.0000 0.5000  4 Ir 2.50
Ir: 0.5000 0.5000 0.5000  4 P 2.50
O: 0.0000 0.5000 0.0000  2 V 1.77
O: 0.5000 0.0000 0.0000  2 V 1.77